1.
! KMo2Ru GGA-PBE optimized geometry; values from VASP
&SYSTEM
  ibrav = 0, nat = 4, ntyp = 3
/
ATOMIC_SPECIES
K 39.10 K.upf
Mo 95.94 Mo.upf
Ru 101.07 Ru.upf
CELL_PARAMETERS angstrom
1.517 -2.289 0.000
1.517 2.289 0.000
0.000 0.000 10.676
ATOMIC_POSITIONS angstrom
K 0.000 0.000 0.000
Mo 1.517 0.000 3.147
Mo 1.517 0.000 7.530
Ru 0.000 0.000 5.338
! Size of the total moment   0.00 μB per cell
! Formation energy   3.52 eV/f.u.
! Offset from the most stable computed form   151 meV/atom
! Symmetry   Cmmm, No. 65

---

2.
! K2PrPuO6 GGA-PBE optimized geometry; values from VASP
&SYSTEM
  ibrav = 0, nat = 20, ntyp = 4
/
ATOMIC_SPECIES
K 39.10 K.upf
Pr 140.91 Pr.upf
Pu 244.00 Pu.upf
O 16.00 O.upf
CELL_PARAMETERS angstrom
6.201 0.000 0.000
0.000 6.197 0.000
-6.196 0.000 8.765
ATOMIC_POSITIONS angstrom
K -0.003 0.030 2.189
K -3.101 3.068 6.572
K 3.106 3.129 2.193
K 0.008 6.167 6.576
Pr 3.100 0.000 0.000
Pr 0.002 3.099 4.383
Pu -3.098 0.000 4.383
Pu 0.000 3.099 0.000
O -1.772 1.521 4.238
O -4.869 1.578 8.620
O -4.679 4.429 8.620
O -1.581 4.867 4.237
O -2.894 0.015 6.395
O 0.204 3.083 2.013
O -0.199 3.114 6.753
O 2.899 6.182 2.370
O 1.586 1.331 4.528
O 4.684 1.768 0.145
O 4.874 4.619 0.145
O 1.777 4.677 4.528
! Size of the total moment   2.00 μB per cell
! Symmetry   P2_1/c, No. 14
! Raw formation energy   -2504 meV per atom

---

3.
! Mg2FeTc GGA-PBE optimized geometry; values from VASP
&SYSTEM
  ibrav = 0, nat = 4, ntyp = 3
/
ATOMIC_SPECIES
Mg 24.30 Mg.upf
Fe 55.84 Fe.upf
Tc 98.00 Tc.upf
CELL_PARAMETERS angstrom
2.653 0.000 0.000
0.000 4.446 0.000
-1.225 0.000 5.252
ATOMIC_POSITIONS angstrom
Mg 0.276 0.000 1.320
Mg 1.152 0.000 3.932
Fe -0.613 2.223 2.626
Tc 1.327 2.223 0.000
! Size of the total moment   2.50 μB per cell
! Formation energy   1.15 eV/f.u.
! Offset from the most stable computed form   190 meV/atom
! Symmetry   P2/m, No. 10

---

4.
! Ti3MnCo3 GGA-PBE optimized geometry; values from VASP
&SYSTEM
  ibrav = 0, nat = 14, ntyp = 3
/
ATOMIC_SPECIES
Ti 47.87 Ti.upf
Mn 54.94 Mn.upf
Co 58.93 Co.upf
CELL_PARAMETERS angstrom
4.153 -4.154 0.000
4.153 4.154 0.000
0.000 0.000 5.574
ATOMIC_POSITIONS angstrom
Ti 4.153 2.507 0.000
Ti 1.786 0.000 2.787
Ti 4.153 1.931 2.787
Ti 4.153 -1.931 2.787
Ti 6.520 0.000 2.787
Ti 4.153 -2.507 0.000
Mn 2.151 0.000 0.000
Mn 6.156 0.000 0.000
Co 2.077 2.077 1.383
Co 2.077 2.077 4.191
Co 2.077 -2.077 1.383
Co 2.077 -2.077 4.191
Co 4.153 0.000 1.363
Co 4.153 0.000 4.212
! Size of the total moment   8.00 μB per cell
! Formation energy   -1.10 eV/f.u.
! Symmetry   Cmmm, No. 65

---

5.
! PmHoErIn GGA-PBE optimized geometry; values from VASP
&SYSTEM
  ibrav = 0, nat = 4, ntyp = 4
/
ATOMIC_SPECIES
Pm 145.00 Pm.upf
Ho 164.93 Ho.upf
Er 167.26 Er.upf
In 114.82 In.upf
CELL_PARAMETERS angstrom
0.000 3.861 3.861
3.861 0.000 3.861
3.861 3.861 0.000
ATOMIC_POSITIONS angstrom
Pm 0.000 0.000 0.000
Ho 5.792 5.792 5.792
Er 1.931 1.931 1.931
In 3.861 3.861 3.861
! Size of the total moment   1.40 μB per cell
! Formation energy   -0.36 eV/f.u.
! Offset from the most stable computed form   40 meV/atom
! Symmetry   F-43m, No. 216

---

6.
! CaYGa2 GGA-PBE optimized geometry; values from VASP
&SYSTEM
  ibrav = 0, nat = 8, ntyp = 3
/
ATOMIC_SPECIES
Ca 40.08 Ca.upf
Y 88.91 Y.upf
Ga 69.72 Ga.upf
CELL_PARAMETERS angstrom
-3.966 3.966 3.417
3.966 -3.966 3.417
3.966 3.966 -3.417
ATOMIC_POSITIONS angstrom
Ca 0.000 0.000 0.000
Ca 0.000 3.966 1.708
Y 3.966 0.000 1.708
Y 0.000 0.000 3.417
Ga 1.983 -1.954 2.562
Ga 2.012 1.983 0.854
Ga 1.983 5.920 -0.854
Ga 1.954 1.983 4.271
! Size of the total moment   0.00 μB per cell
! Formation energy   -0.57 eV/f.u.
! Symmetry   I-42d, No. 122